Here is a relaxed structure of SrMgAg2F8 from the Alexandria database. Energies are from PBE.

Cell lengths 5.5110, 5.5110, 6.5652 Å; angles 90.00, 90.00, 120.00 degrees
With the nearest neighbours (Å) after each atom.
Positions (direct):
Sr (0.0000, 0.0000, 0.0000)  6 F 2.63
Mg (0.0000, 0.0000, 0.5000)  6 F 1.97
Ag (0.3333, 0.6667, 0.6288)  1 F 2.04
Ag (0.6667, 0.3333, 0.3712)  1 F 2.04
F (0.0730, 0.7577, 0.3205)  1 Mg 1.97
F (0.2423, 0.3153, 0.3205)  1 Mg 1.97
F (0.3153, 0.0730, 0.6795)  1 Mg 1.97
F (0.3333, 0.6667, 0.9394)  1 Ag 2.04
F (0.6667, 0.3333, 0.0606)  1 Ag 2.04
F (0.6847, 0.9270, 0.3205)  1 Mg 1.97
F (0.7577, 0.6847, 0.6795)  1 Mg 1.97
F (0.9270, 0.2423, 0.6795)  1 Mg 1.97

Output
**E_form (uncorrected)**: -2.24 eV per atom
**Total magnetization**: 1.93 μB/f.u.
**Electronic total energy**: -4.2325 eV/atom
**Calculated volume**: 14.39 Å³ per atom

=====

Here is a relaxed structure of SrMgAgF2 from the Alexandria database. Energies are from PBE.

Cell lengths 4.5377, 4.5377, 6.8736 Å; angles 90.00, 90.00, 90.00 degrees
With the nearest neighbours (Å) after each atom.
Positions (direct):
Sr (0.0000, 0.0000, 0.0000)  4 F 2.27
Mg (0.5000, 0.5000, 0.5000)  4 Ag 3.21
Ag (0.0000, 0.0000, 0.5000)  4 Mg 3.21, 2 Sr 3.44
F (0.0000, 0.5000, 0.0000)  2 Sr 2.27
F (0.5000, 0.0000, 0.0000)  2 Sr 2.27

Output
**E_form (uncorrected)**: -1.79 eV per atom
**Total magnetization**: 0.00 μB/f.u.
**Electronic total energy**: -3.7622 eV/atom
**Calculated volume**: 28.31 Å³ per atom

=====

Here is a relaxed structure of TbMgAgF6 from the Alexandria database. Energies are from PBE.

Cell lengths 5.1948, 5.1948, 10.2200 Å; angles 90.00, 90.00, 90.00 degrees
With the nearest neighbours (Å) after each atom.
Positions (direct):
Tb (0.0000, 0.0000, 0.0000)  6 F 2.21-2.24
Tb (0.5000, 0.5000, 0.5000)  6 F 2.21-2.24
Mg (0.0000, 0.0000, 0.6608)  6 F 2.02-2.06
Mg (0.5000, 0.5000, 0.1608)  6 F 2.02-2.06
Ag (0.0000, 0.0000, 0.3280)  6 F 2.41-2.53
Ag (0.5000, 0.5000, 0.8280)  6 F 2.41-2.53
F (0.1727, 0.1727, 0.8190)  1 Mg 2.06, 1 Tb 2.24
F (0.2017, 0.2017, 0.5255)  1 Mg 2.03, 1 Tb 2.21
F (0.2269, 0.2269, 0.1414)  1 Mg 2.02, 1 Tb 2.21
F (0.2731, 0.7269, 0.6414)  1 Mg 2.02, 1 Tb 2.21
F (0.2983, 0.7017, 0.0255)  1 Mg 2.03, 1 Tb 2.21
F (0.3273, 0.6727, 0.3190)  1 Mg 2.06, 1 Tb 2.24
F (0.6727, 0.3273, 0.3190)  1 Mg 2.06, 1 Tb 2.24
F (0.7017, 0.2983, 0.0255)  1 Mg 2.03, 1 Tb 2.21
F (0.7269, 0.2731, 0.6414)  1 Mg 2.02, 1 Tb 2.21
F (0.7731, 0.7731, 0.1414)  1 Mg 2.02, 1 Tb 2.21
F (0.7983, 0.7983, 0.5255)  1 Mg 2.03, 1 Tb 2.21
F (0.8273, 0.8273, 0.8190)  1 Mg 2.06, 1 Tb 2.24

Output
**E_form (uncorrected)**: -3.20 eV per atom
**Total magnetization**: 0.00 μB/f.u.
**Electronic total energy**: -5.4532 eV/atom
**Calculated volume**: 15.32 Å³ per atom